[1]
## As2PW (GGA-PBE)

Data for an optimized crystal structure of As2PW.

Summary:
E_tot: -6.245 eV per atom
Calculated density: 9.34 Mg/m³
Crystal system: tetragonal
Density of states at the Fermi level: 7.10 states/eV per cell

a b c (Å): 4.0054 4.0054 8.0863
angles (deg): 90.00 90.00 90.00
Last column: nearest neighbours and their distance in Å.
Space group I4/mmm (No. 139)
Unique sites:
As: 0.0000 0.5000 0.2500 x4  4 As 2.83, 4 W 2.85, 4 P 2.85
P: 0.0000 0.0000 0.0000 x2  4 W 2.83, 8 As 2.85
W: 0.0000 0.0000 0.5000 x2  4 P 2.83, 8 As 2.85


[2]
## PrSm6Dy3Er2 (GGA-PBE)

Data for an optimized crystal structure of PrSm6Dy3Er2.

Summary:
E_tot: -4.653 eV per atom
Calculated density: 7.88 Mg/m³
Crystal system: monoclinic
Density of states at the Fermi level: 30.01 states/eV per cell

a b c (Å): 6.2274 10.7810 11.8896
angles (deg): 90.00 100.03 90.00
Last column: nearest neighbours and their distance in Å.
Space group C2/m (No. 12)
Unique sites:
Pr: 0.0000 0.0000 0.0000 x2  6 Er 3.59, 6 Sm 3.60
Sm: 0.2486 0.3328 0.7488 x8  3 Dy 3.57-3.58, 6 Sm 3.59-3.61, 2 Er 3.60, 1 Pr 3.60
Sm: 0.2503 0.0000 0.7489 x4  3 Dy 3.57-3.58, 6 Sm 3.59-3.61, 2 Er 3.60, 1 Pr 3.60
Dy: 0.0000 0.1670 0.5000 x4  6 Sm 3.57-3.58, 6 Dy 3.59-3.60
Dy: 0.0000 0.5000 0.5000 x2  6 Sm 3.57-3.58, 6 Dy 3.59-3.60
Er: 0.0000 0.3334 0.0000 x4  3 Er 3.59-3.60, 3 Pr 3.59, 6 Sm 3.60


Values of ΔH_f (0 K), in order: 0.671 0.016, all in eV per atom.